ThMgAgPb after structural relaxation, computed with GGA-PBE.

Lattice parameters (Å, degrees): 5.2588 5.2588 5.2588 60.00 60.00 60.00
Closest atoms and distances in Å follow each position.
Sites, in units of the cell vectors:
Th  0.0000  0.0000  0.0000  4 Pb 3.22, 4 Ag 3.22
Mg  0.5000  0.5000  0.5000  4 Pb 3.22, 4 Ag 3.22
Ag  0.2500  0.2500  0.2500  4 Th 3.22, 4 Mg 3.22
Pb  0.7500  0.7500  0.7500  4 Th 3.22, 4 Mg 3.22

Summary:
The total energy is -16.0 eV/f.u. The calculation puts the theoretical density at 9.23 g cm⁻³. Its formation energy from the elements is -0.41 eV/f.u. The calculated volume comes out at 25.71 Å³ per atom.